No. 1
Entry from Alexandria via LeMat-Bulk: InSiPb2 after structural relaxation (GGA-PBE).

Space-group type: I-42d
Fermi-level density of states, states/eV/cell: 2.93
Formation energy without anion corrections, eV per atom: 0.364

Lattice parameters (Å, degrees): 6.675 6.675 7.871 64.91 64.91 90.00
Fractional positions:
1 Pb 0.594 0.125 0.250
2 Pb 0.156 0.625 0.250
3 Pb 0.375 0.406 0.750
4 Pb 0.875 0.844 0.750
5 Si 0.500 0.500 0.000
6 Si 0.250 0.750 0.500
7 In 0.000 0.000 0.000
8 In 0.750 0.250 0.500

***

No. 2
Entry from Alexandria via LeMat-Bulk: U2Tl3Te6Au after structural relaxation (GGA-PBE).

Space-group type: C2/m
Fermi-level density of states, states/eV/cell: 12.17
Formation energy without anion corrections, eV per atom: -0.405

Lattice parameters (Å, degrees): 7.790 7.790 8.536 97.60 97.60 123.27
Fractional positions:
1 U 0.333 0.667 0.000
2 U 0.667 0.333 0.000
3 Tl 0.159 0.841 0.500
4 Tl 0.841 0.159 0.500
5 Tl 0.500 0.500 0.500
6 Te 0.931 0.566 0.774
7 Te 0.753 0.753 0.189
8 Te 0.069 0.434 0.226
9 Te 0.566 0.931 0.774
10 Te 0.247 0.247 0.811
11 Te 0.434 0.069 0.226
12 Au 0.000 0.000 0.000

***

No. 3
Entry from Alexandria via LeMat-Bulk: CeGdLuHf after structural relaxation (GGA-PBE).

Space-group type: F-43m
Fermi-level density of states, states/eV/cell: 8.11
DFT formation energy, eV per atom: 0.231

Lattice parameters (Å, degrees): 5.403 5.403 5.403 60.00 60.00 60.00
Fractional positions:
1 Gd 0.500 0.500 0.500
2 Lu 0.750 0.750 0.750
3 Hf 0.250 0.250 0.250
4 Ce 0.000 0.000 0.000

***

No. 4
Entry from Alexandria via LeMat-Bulk: MnAsOsBr2 after structural relaxation (GGA-PBE).

Space-group type: P4/mmm
Fermi-level density of states, states/eV/cell: 5.14
Formation energy without anion corrections, eV per atom: 1.239
Energy above the lowest structure with this stoichiometry, meV/atom: 473

Lattice parameters (Å, degrees): 4.815 4.815 5.145 90.00 90.00 90.00
Fractional positions:
1 As 0.000 0.000 0.500
2 Mn 0.000 0.000 0.000
3 Os 0.500 0.500 0.500
4 Br 0.000 0.500 0.000
5 Br 0.500 0.000 0.000

***

No. 5
Entry from Alexandria via LeMat-Bulk: GdTh2Hg after structural relaxation (GGA-PBE).

Space-group type: P4/mmm
Fermi-level density of states, states/eV/cell: 6.84
Energy above the lowest structure with this stoichiometry, meV/atom: 77
DFT formation energy, eV per atom: 0.003

Lattice parameters (Å, degrees): 4.119 4.119 7.074 90.00 90.00 90.00
Fractional positions:
1 Gd 0.500 0.500 0.500
2 Hg 0.500 0.500 0.000
3 Th 0.000 0.000 0.768
4 Th 0.000 0.000 0.232

***

No. 6
Entry from Alexandria via LeMat-Bulk: Na2Ge2SbPd5 after structural relaxation (GGA-PBE).

Space-group type: P4/mbm
Fermi-level density of states, states/eV/cell: 7.49
Formation energy without anion corrections, eV per atom: -0.418

Lattice parameters (Å, degrees): 3.380 10.418 10.418 90.00 90.00 90.00
Fractional positions:
1 Na 0.000 0.673 0.173
2 Na 0.000 0.327 0.827
3 Na 0.000 0.173 0.327
4 Na 0.000 0.827 0.673
5 Ge 0.000 0.127 0.627
6 Ge 0.000 0.873 0.373
7 Ge 0.000 0.627 0.873
8 Ge 0.000 0.373 0.127
9 Sb 0.000 0.000 0.000
10 Sb 0.000 0.500 0.500
11 Pd 0.500 0.205 0.067
12 Pd 0.500 0.795 0.933
13 Pd 0.500 0.067 0.795
14 Pd 0.500 0.705 0.433
15 Pd 0.500 0.933 0.205
16 Pd 0.500 0.295 0.567
17 Pd 0.500 0.567 0.705
18 Pd 0.500 0.433 0.295
19 Pd 0.500 0.500 0.000
20 Pd 0.500 0.000 0.500

***

No. 7
Entry from Alexandria via LeMat-Bulk: PPtSe4 after structural relaxation (GGA-PBE).

Space-group type: F-43m
Fermi-level density of states, states/eV/cell: 5.95
Formation energy without anion corrections, eV per atom: 1.105

Lattice parameters (Å, degrees): 5.546 5.546 5.546 60.00 60.00 60.00
Fractional positions:
1 P 0.750 0.750 0.750
2 Pt 0.000 0.000 0.000
3 Se 0.879 0.374 0.374
4 Se 0.374 0.374 0.879
5 Se 0.374 0.879 0.374
6 Se 0.374 0.374 0.374

***

No. 8
Entry from Alexandria via LeMat-Bulk: La7IrPt4 after structural relaxation (GGA-PBE).

Space-group type: Cm
Fermi-level density of states, states/eV/cell: 8.10
DFT formation energy, eV per atom: -0.967

Lattice parameters (Å, degrees): 4.156 7.278 12.669 104.38 90.00 106.59
Fractional positions:
1 La 0.744 0.487 0.363
2 La 0.266 0.532 0.639
3 La 0.343 0.686 0.948
4 La 0.654 0.307 0.051
5 La 0.038 0.076 0.780
6 La 0.959 0.917 0.217
7 La 0.498 0.996 0.503
8 Ir 0.886 0.771 0.574
9 Pt 0.696 0.393 0.818
10 Pt 0.302 0.604 0.182
11 Pt 0.998 0.997 0.000
12 Pt 0.116 0.233 0.424

***

No. 9
Entry from Alexandria via LeMat-Bulk: Ba2ErSb3Pd4 after structural relaxation (GGA-PBE).

Space-group type: P-4m2
Fermi-level density of states, states/eV/cell: 6.27
Formation energy without anion corrections, eV per atom: -0.854

Lattice parameters (Å, degrees): 4.708 4.708 11.416 90.00 90.00 90.00
Fractional positions:
1 Ba 0.500 0.000 0.231
2 Ba 0.000 0.500 0.769
3 Er 0.500 0.500 0.500
4 Sb 0.000 0.000 0.500
5 Sb 0.500 0.000 0.877
6 Sb 0.000 0.500 0.123
7 Pd 0.500 0.500 0.000
8 Pd 0.000 0.000 0.000
9 Pd 0.500 0.000 0.638
10 Pd 0.000 0.500 0.362

***

No. 10
Entry from Alexandria via LeMat-Bulk: PrDy2Er9 after structural relaxation (GGA-PBE).

Space-group type: P4/mmm
Fermi-level density of states, states/eV/cell: 16.72
Energy above the lowest structure with this stoichiometry, meV/atom: 0
DFT formation energy, eV per atom: 0.025

Lattice parameters (Å, degrees): 4.991 4.991 14.975 90.00 90.00 90.00
Fractional positions:
1 Pr 0.000 0.000 0.000
2 Dy 0.000 0.000 0.334
3 Dy 0.000 0.000 0.666
4 Er 0.500 0.500 0.000
5 Er 0.500 0.500 0.335
6 Er 0.500 0.500 0.665
7 Er 0.500 0.000 0.169
8 Er 0.500 0.000 0.500
9 Er 0.500 0.000 0.831
10 Er 0.000 0.500 0.169
11 Er 0.000 0.500 0.500
12 Er 0.000 0.500 0.831

***

No. 11
Entry from Alexandria via LeMat-Bulk: MoHSe2Br after structural relaxation (GGA-PBE).

Space-group type: P4/mmm
Fermi-level density of states, states/eV/cell: 4.19
Energy above the lowest structure with this stoichiometry, meV/atom: 0

Lattice parameters (Å, degrees): 4.871 4.871 5.402 90.00 90.00 90.00
Fractional positions:
1 H 0.500 0.500 0.500
2 Mo 0.000 0.000 0.000
3 Se 0.000 0.500 0.000
4 Se 0.500 0.000 0.000
5 Br 0.000 0.000 0.500

***

No. 12
Entry from Alexandria via LeMat-Bulk: In2OsPdRu after structural relaxation (GGA-PBE).

Space-group type: P4/mmm
Fermi-level density of states, states/eV/cell: 5.32
DFT formation energy, eV per atom: 1.541

Lattice parameters (Å, degrees): 5.016 4.700 5.016 90.00 90.00 90.00
Fractional positions:
1 Ru 0.000 0.000 0.000
2 Os 0.500 0.500 0.500
3 Pd 0.000 0.500 0.000
4 In 0.000 0.000 0.500
5 In 0.500 0.000 0.000